First-principles (PBE) data for a geometry-optimized PrNd2Cd structure, as listed in Alexandria.

Properties
- energy above the lowest structure with this stoichiometry (kJ/mol of formula units) = 52
- V (Å³ per atom) = 31.415
- energy of formation from the pure elements (meV per atom) = -18

a b c (Å): 7.9510 7.9510 7.9510
angles (deg): 90.00 90.00 90.00
Closest atoms and distances in Å follow each position.
Fractional positions:
Pr 0.0000 0.0000 0.0000  8 Nd 3.44
Pr 0.0000 0.5000 0.5000  8 Nd 3.44
Pr 0.5000 0.0000 0.5000  8 Nd 3.44
Pr 0.5000 0.5000 0.0000  8 Nd 3.44
Nd 0.2500 0.2500 0.2500  4 Pr 3.44, 4 Cd 3.44
Nd 0.2500 0.2500 0.7500  4 Cd 3.44, 4 Pr 3.44
Nd 0.2500 0.7500 0.2500  4 Cd 3.44, 4 Pr 3.44
Nd 0.2500 0.7500 0.7500  4 Pr 3.44, 4 Cd 3.44
Nd 0.7500 0.2500 0.2500  4 Cd 3.44, 4 Pr 3.44
Nd 0.7500 0.2500 0.7500  4 Pr 3.44, 4 Cd 3.44
Nd 0.7500 0.7500 0.2500  4 Pr 3.44, 4 Cd 3.44
Nd 0.7500 0.7500 0.7500  4 Cd 3.44, 4 Pr 3.44
Cd 0.0000 0.0000 0.5000  8 Nd 3.44
Cd 0.0000 0.5000 0.0000  8 Nd 3.44
Cd 0.5000 0.0000 0.0000  8 Nd 3.44
Cd 0.5000 0.5000 0.5000  8 Nd 3.44